Compound: VCoPCl2
Source: the Alexandria database
Functional: GGA-PBE
Structure: optimized geometry

Lattice parameters (Å, degrees): 4.508 4.508 4.924 90.00 90.00 90.00
Fractional coordinates of all 5 atoms:
P 0.000 0.000 0.500
Cl 0.000 0.500 0.000
Cl 0.500 0.000 0.000
Co 0.500 0.500 0.500
V 0.000 0.000 0.000

Results
Energy above the lowest structure with this stoichiometry = 11 meV/atom
ΔE_f (raw) = 0.4144 eV per atom